The following is a DFT calculation (PBE-GGA) of a relaxed structure of RbAgOs2.

The structure in POSCAR format:
```
RbAgOs2
1.0
0.000 3.376 3.376
3.376 0.000 3.376
3.376 3.376 0.000
Os Rb Ag
2 1 1
direct
0.250 0.250 0.250 Os
0.750 0.750 0.750 Os
0.000 0.000 0.000 Rb
0.500 0.500 0.500 Ag
```

Values from the calculation:
The calculation puts the offset from the most stable computed form at 801.7 meV/atom. The calculation puts the size of the total moment at 0.86 μB/atom.